5
Lattice="3.430 0.000 0.000 0.000 3.430 0.000 0.000 0.000 6.023" Properties=species:S:1:pos:R:3 comment="NaCoN2F, relaxed, DFT GGA+U" m_tot_mub_per_fu=0.361 dft_energy_ev_per_atom=-4.8974 sg="No. 123" polymorph_energy_ev_per_fu=0.00 pbc="T T T"
Na 0.000 0.000 0.000
Co 1.715 1.715 3.012
N 0.000 1.715 3.012
N 1.715 0.000 3.012
F 1.715 1.715 0.000